No. 1
Below is a relaxed CrInFe crystal, with properties calculated at the GGA-PBE level.

Geometry as POSCAR:
```
CrInFe
1.0
5.988 0.000 0.000
0.000 5.988 0.000
0.000 0.000 5.988
Cr In Fe
4 4 4
Direct
0.000 0.000 0.000
0.000 0.500 0.500
0.500 0.000 0.500
0.500 0.500 0.000
0.000 0.000 0.500
0.000 0.500 0.000
0.500 0.000 0.000
0.500 0.500 0.500
0.250 0.250 0.750
0.250 0.750 0.250
0.750 0.250 0.250
0.750 0.750 0.750
```

Output
- crystal system = cubic
- ΔH_f (0 K) (eV per atom) = 0.5706



No. 2
Below is a relaxed Cs2KRbPd crystal, with properties calculated at the GGA-PBE level.

Geometry as POSCAR:
```
Cs2KRbPd
1.0
7.025 0.000 0.000
0.000 7.025 0.000
0.000 0.000 6.901
Cs K Rb Pd
2 1 1 1
Direct
0.000 0.500 0.000
0.500 0.000 0.000
0.000 0.000 0.500
0.500 0.500 0.500
0.500 0.500 0.000
```

Output
- crystal system = tetragonal
- E above lowest polymorph (eV/atom) = 0.003
- ΔH_f (0 K) (eV per atom) = 0.0797



No. 3
Below is a relaxed LaYScN2 crystal, with properties calculated at the GGA-PBE level.

Geometry as POSCAR:
```
LaYScN2
1.0
4.405 0.000 0.000
0.000 4.405 0.000
0.000 0.000 4.993
La Y Sc N
1 1 1 2
Direct
0.000 0.000 0.000
0.500 0.500 0.000
0.500 0.500 0.500
0.000 0.500 0.500
0.500 0.000 0.500
```

Output
- formation energy from raw total energies (eV per formula unit) = 3.44
- crystal system = tetragonal